# 1
Material: TbCePm2Dy5
Method: DFT, PBE-GGA
State: optimized geometry

The raw total energy comes out at -4.52 eV per atom. As for the space-group type: I4/mcm, No. 140. As for the density: 8.07 g/cm³. Its formation enthalpy at 0 K is 0.2703 eV/atom.

abc: 8.588 8.588 9.903
angles: 115.70 115.70 90.00
Sites, in units of the cell vectors:
Tb 0.250 0.250 0.500
Tb 0.750 0.750 0.500
Ce 0.250 0.750 0.500
Ce 0.750 0.250 0.500
Pm 0.121 0.379 0.000
Pm 0.621 0.121 0.000
Pm 0.379 0.879 0.000
Pm 0.879 0.621 0.000
Dy 0.938 0.438 0.281
Dy 0.657 0.157 0.719
Dy 0.062 0.562 0.719
Dy 0.157 0.062 0.719
Dy 0.562 0.657 0.719
Dy 0.843 0.938 0.281
Dy 0.438 0.343 0.281
Dy 0.343 0.843 0.281
Dy 0.500 0.500 0.000
Dy 0.000 0.000 0.000

# 2
Material: Tb5CePmDy2
Method: DFT, PBE-GGA
State: optimized geometry

The raw total energy comes out at -4.61 eV per atom. As for the space-group type: Cmc2_1, No. 36. As for the density: 7.89 g/cm³. Its formation enthalpy at 0 K is 0.1715 eV/atom.

abc: 5.718 11.147 9.602
angles: 90.00 90.00 104.86
Sites, in units of the cell vectors:
Tb 0.394 0.788 0.041
Tb 0.733 0.466 0.833
Tb 0.471 0.942 0.746
Tb 0.306 0.612 0.715
Tb 0.987 0.974 0.514
Tb 0.606 0.212 0.541
Tb 0.267 0.534 0.333
Tb 0.529 0.058 0.246
Tb 0.694 0.388 0.215
Tb 0.013 0.026 0.014
Ce 0.807 0.614 0.522
Ce 0.193 0.386 0.022
Pm 0.597 0.194 0.924
Pm 0.403 0.806 0.424
Dy 0.887 0.773 0.823
Dy 0.136 0.271 0.706
Dy 0.113 0.227 0.323
Dy 0.864 0.729 0.206